ScFe2P | PBE-GGA | relaxed

Lattice parameters (Å, degrees): 8.5017 8.5017 8.5017 153.97 153.97 37.14
Closest atoms and distances in Å follow each position.
Sites, in units of the cell vectors:
Sc 0.0000 0.0000 0.0000  4 Fe 2.62, 4 P 2.71
Sc 0.7500 0.2500 0.5000  4 Fe 2.62, 4 P 2.71
Fe 0.2345 0.6250 0.1095  2 Fe 2.20, 2 P 2.29
Fe 0.3750 0.4845 0.6095  2 Fe 2.20, 2 P 2.29
Fe 0.5155 0.1250 0.8905  2 Fe 2.20, 2 P 2.29
Fe 0.8750 0.7655 0.3905  2 Fe 2.20, 2 P 2.29
P 0.2500 0.7500 0.5000  4 Fe 2.29
P 0.5000 0.5000 0.0000  4 Fe 2.29

Summary:
As for the calculated formation energy: -0.129 eV/atom. Its total magnetization is 0.0 Bohr magnetons per cell. As for the space-group type: No. 122. The value obtained for the density of states at the Fermi level is 4.40 states/eV/f.u.

Sr2ZnGa3Rh4 | PBE-GGA | relaxed

Lattice parameters (Å, degrees): 4.3887 4.3887 10.0772 90.00 90.00 90.00
Closest atoms and distances in Å follow each position.
Sites, in units of the cell vectors:
Sr 0.0000 0.5000 0.2433  8 Rh 3.29-3.37, 7 Ga 3.34-3.68, 2 Zn 3.39
Sr 0.5000 0.0000 0.7567  8 Rh 3.29-3.37, 7 Ga 3.34-3.68, 2 Zn 3.39
Zn 0.0000 0.0000 0.5000  4 Rh 2.53
Ga 0.0000 0.5000 0.8783  5 Rh 2.51-2.54
Ga 0.5000 0.0000 0.1217  5 Rh 2.51-2.54
Ga 0.5000 0.5000 0.5000  4 Rh 2.53
Rh 0.0000 0.0000 0.0000  4 Ga 2.51
Rh 0.0000 0.5000 0.6258  2 Zn 2.53, 3 Ga 2.53-2.54
Rh 0.5000 0.0000 0.3742  2 Zn 2.53, 3 Ga 2.53-2.54
Rh 0.5000 0.5000 0.0000  4 Ga 2.51

Summary:
As for the calculated formation energy: -0.627 eV/atom. Its total magnetization is 0.0 Bohr magnetons per cell. As for the space-group type: No. 115. The value obtained for the density of states at the Fermi level is 3.75 states/eV/f.u.

Ac8Ir3RuCl4 | PBE-GGA | relaxed

Lattice parameters (Å, degrees): 8.6449 8.6449 9.4177 117.35 117.35 60.01
Closest atoms and distances in Å follow each position.
Sites, in units of the cell vectors:
Ac 0.2325 0.7375 0.7023  1 Ru 2.95, 2 Ir 2.98
Ac 0.2326 0.2326 0.7023  1 Ru 2.95, 2 Ir 2.98
Ac 0.2625 0.7675 0.2977  1 Ru 2.95, 2 Ir 2.98
Ac 0.2665 0.2665 0.2996  3 Ir 2.96
Ac 0.7335 0.7335 0.7004  3 Ir 2.96
Ac 0.7375 0.2325 0.7023  1 Ru 2.95, 2 Ir 2.98
Ac 0.7674 0.7674 0.2977  1 Ru 2.95, 2 Ir 2.98
Ac 0.7675 0.2625 0.2977  1 Ru 2.95, 2 Ir 2.98
Ir 0.0000 0.5000 0.5000  6 Ac 2.96-2.98
Ir 0.5000 0.0000 0.5000  6 Ac 2.96-2.98
Ir 0.5000 0.5000 0.5000  6 Ac 2.96-2.98
Ru 0.0000 0.0000 0.5000  6 Ac 2.95
Cl 0.0000 0.0000 0.0000  6 Ac 3.44-3.45
Cl 0.0000 0.5000 0.0000  6 Ac 3.44-3.46
Cl 0.5000 0.0000 0.0000  6 Ac 3.44-3.46
Cl 0.5000 0.5000 0.0000  6 Ac 3.46-3.47

Summary:
Its total magnetization is 0.0 Bohr magnetons per cell. The value obtained for the total energy is -5.96 eV/atom. As for the space-group type: No. 12. The value obtained for the density of states at the Fermi level is 4.94 states/eV/f.u.

PaAg2RuO6 | PBE-GGA | relaxed

Lattice parameters (Å, degrees): 5.8191 5.8191 4.3044 90.00 90.00 90.00
Closest atoms and distances in Å follow each position.
Sites, in units of the cell vectors:
Pa 0.0000 0.0000 0.0000  6 O 2.13-2.18
Ag 0.0000 0.5000 0.4157  8 O 2.67-2.96
Ag 0.5000 0.0000 0.4157  8 O 2.67-2.96
Ru 0.5000 0.5000 0.9732  5 O 1.83-1.96
O 0.0000 0.0000 0.5056  2 Pa 2.13-2.18
O 0.2637 0.2637 0.0210  1 Ru 1.96, 1 Pa 2.17
O 0.2637 0.7363 0.0210  1 Ru 1.96, 1 Pa 2.17
O 0.5000 0.5000 0.5476  1 Ru 1.83
O 0.7363 0.2637 0.0210  1 Ru 1.96, 1 Pa 2.17
O 0.7363 0.7363 0.0210  1 Ru 1.96, 1 Pa 2.17

Summary:
Its total magnetization is 2.8 Bohr magnetons per cell. The value obtained for the total energy is -6.84 eV/atom. As for the space-group type: No. 99. The value obtained for the density of states at the Fermi level is 3.37 states/eV/f.u.

PrSm2Sn | PBE-GGA | relaxed

Lattice parameters (Å, degrees): 5.5388 5.5388 5.5388 60.00 60.00 60.00
Closest atoms and distances in Å follow each position.
Sites, in units of the cell vectors:
Pr 0.0000 0.0000 0.0000  8 Sm 3.39
Sm 0.2500 0.2500 0.2500  4 Sn 3.39, 4 Pr 3.39
Sm 0.7500 0.7500 0.7500  4 Pr 3.39, 4 Sn 3.39
Sn 0.5000 0.5000 0.5000  8 Sm 3.39

Summary:
The value obtained for the polymorph energy (0 for the lowest one) is 201 meV per atom. As for the calculated formation energy: -0.242 eV/atom. Its total magnetization is 0.0 Bohr magnetons per cell. As for the space-group type: No. 225. The value obtained for the density of states at the Fermi level is 8.01 states/eV/f.u.

BaLa2Cu | PBE-GGA | relaxed

Lattice parameters (Å, degrees): 5.6216 5.6216 5.6216 60.00 60.00 60.00
Closest atoms and distances in Å follow each position.
Sites, in units of the cell vectors:
Ba 0.0000 0.0000 0.0000  4 La 3.44, 4 Cu 3.44
La 0.2500 0.2500 0.2500  4 Ba 3.44, 4 La 3.44
La 0.5000 0.5000 0.5000  4 La 3.44, 4 Cu 3.44
Cu 0.7500 0.7500 0.7500  4 Ba 3.44, 4 La 3.44

Summary:
The value obtained for the polymorph energy (0 for the lowest one) is 361 meV per atom. As for the calculated formation energy: 0.378 eV/atom. Its total magnetization is 1.0 Bohr magnetons per cell. As for the space-group type: No. 216. The value obtained for the density of states at the Fermi level is 7.17 states/eV/f.u.

Copy entry 6 word for word.
BaLa2Cu | PBE-GGA | relaxed

Lattice parameters (Å, degrees): 5.6216 5.6216 5.6216 60.00 60.00 60.00
Closest atoms and distances in Å follow each position.
Sites, in units of the cell vectors:
Ba 0.0000 0.0000 0.0000  4 La 3.44, 4 Cu 3.44
La 0.2500 0.2500 0.2500  4 Ba 3.44, 4 La 3.44
La 0.5000 0.5000 0.5000  4 La 3.44, 4 Cu 3.44
Cu 0.7500 0.7500 0.7500  4 Ba 3.44, 4 La 3.44

Summary:
The value obtained for the polymorph energy (0 for the lowest one) is 361 meV per atom. As for the calculated formation energy: 0.378 eV/atom. Its total magnetization is 1.0 Bohr magnetons per cell. As for the space-group type: No. 216. The value obtained for the density of states at the Fermi level is 7.17 states/eV/f.u.